The following is a PBE calculation of a relaxed NaPm6Sn12 crystal, from the Alexandria database.

Values from the calculation:
formation enthalpy at 0 K: -0.226 eV/atom
calculated total energy: -4.323 eV per atom

Cell: 8.832 8.832 8.832 Å, 103.57 103.57 103.57°
Sites, in units of the cell vectors:
Na (0.000, 0.000, 0.000)
Pm (0.215, 0.313, 0.512)
Pm (0.313, 0.512, 0.215)
Pm (0.488, 0.785, 0.687)
Pm (0.512, 0.215, 0.313)
Pm (0.687, 0.488, 0.785)
Pm (0.785, 0.687, 0.488)
Sn (0.018, 0.337, 0.879)
Sn (0.115, 0.637, 0.452)
Sn (0.121, 0.982, 0.663)
Sn (0.337, 0.879, 0.018)
Sn (0.363, 0.548, 0.885)
Sn (0.452, 0.115, 0.637)
Sn (0.548, 0.885, 0.363)
Sn (0.637, 0.452, 0.115)
Sn (0.663, 0.121, 0.982)
Sn (0.879, 0.018, 0.337)
Sn (0.885, 0.363, 0.548)
Sn (0.982, 0.663, 0.121)